## CSe (SCAN)

Data for a crystal of CSe relaxed with PBEsol.

The structure in POSCAR format:
```
CSe
1.0
-2.287 -0.151 -2.744
-1.863 -2.990 -0.613
-3.522 -0.069 0.610
C Se
1 1
direct
0.000 0.000 0.000
0.250 0.250 0.250
```

Values from the calculation:
electronic total energy: -12.90 eV per atom
E above lowest polymorph: 0.201 eV/atom
formation energy from raw total energies: 2192 meV/atom